Entry 1:
A plane-wave DFT calculation with PBE was carried out for crystalline KFe3S at its relaxed geometry.

It has space group Pm-3m (No. 221), with a = 4.410 Å, b = 4.410 Å, c = 4.410 Å, α = 90.00°, β = 90.00° and γ = 90.00°. The inequivalent atoms are K at (0.000, 0.000, 0.000), Fe at (0.000, 0.500, 0.500) and S at (0.500, 0.500, 0.500).

The total magnetization is 7.004 μB per formula unit. For the formation energy without anion corrections, the calculation gives 0.55 eV/atom. The calculated total energy comes out at -5.58 eV/atom.

Entry 2:
A plane-wave DFT calculation with PBE was carried out for crystalline Pa3Co5N12 at its relaxed geometry.

It has space group Ia-3d (No. 230), with a = 12.141 Å, b = 12.141 Å, c = 12.141 Å, α = 90.00°, β = 90.00° and γ = 90.00°. The inequivalent atoms are Pa at (0.000, 0.250, 0.125), Co at (0.000, 0.000, 0.000), Co at (0.000, 0.250, 0.375) and N at (0.029, 0.052, 0.652).

The total magnetization is 0.000 μB per formula unit. For the formation energy without anion corrections, the calculation gives -0.31 eV/atom. The calculated total energy comes out at -8.51 eV/atom.

Entry 3:
A plane-wave DFT calculation with PBE was carried out for crystalline Pm2Nd3Ho4 at its relaxed geometry.

It has space group C2/c (No. 15), with a = 16.565 Å, b = 11.747 Å, c = 6.160 Å, α = 90.00°, β = 97.19° and γ = 90.00°. The inequivalent atoms are Pm at (0.109, 0.123, 0.286), Nd at (0.000, 0.139, 0.750), Nd at (0.163, 0.354, 0.588), Ho at (0.059, 0.387, 0.041) and Ho at (0.231, 0.114, 0.867).

The total magnetization is 0.000 μB per formula unit. The calculated total energy comes out at -4.58 eV/atom. The value obtained for the formation energy is 0.10 eV/atom.